(1)
NdY2Hg8: optimized geometry, GGA-PBE.

Lattice parameters (Å, degrees): 8.6246 8.6246 8.6246 145.50 128.57 63.41
Positions (direct):
Nd 0.0000 0.0000 0.0000
Y 0.3073 0.3073 0.0000
Y 0.6927 0.6927 0.0000
Hg 0.1391 0.8500 0.2891
Hg 0.1569 0.6569 0.5000
Hg 0.2950 0.5000 0.7950
Hg 0.4392 0.1500 0.2891
Hg 0.5608 0.8500 0.7109
Hg 0.7050 0.5000 0.2050
Hg 0.8431 0.3431 0.5000
Hg 0.8609 0.1500 0.7109

Properties
Total magnetic moment: 0.0000 μB per atom
Energy of formation from the pure elements: -0.32 eV per atom
Total energy: -23.6 eV for the cell shown

(2)
Nd2Y3Hg2: optimized geometry, GGA-PBE.

Lattice parameters (Å, degrees): 6.4615 6.4615 8.3305 113.40 113.40 43.45
Positions (direct):
Nd 0.1359 0.1359 0.2906
Nd 0.8641 0.8641 0.7094
Y 0.3710 0.3710 0.0434
Y 0.5000 0.5000 0.5000
Y 0.6290 0.6290 0.9566
Hg 0.1516 0.1516 0.6991
Hg 0.8484 0.8484 0.3009

Properties
Total magnetic moment: 0.0000 μB per atom
Energy of formation from the pure elements: -0.21 eV per atom
Total energy: -31.0 eV for the cell shown

(3)
Nd2YHg8: optimized geometry, GGA-PBE.

Lattice parameters (Å, degrees): 8.6314 8.6314 8.6314 144.92 128.54 63.80
Positions (direct):
Nd 0.1958 0.1958 0.0000
Nd 0.8042 0.8042 0.0000
Y 0.5000 0.5000 0.0000
Hg 0.0677 0.3582 0.7094
Hg 0.2139 0.0000 0.2139
Hg 0.3438 0.8438 0.5000
Hg 0.3512 0.6418 0.7094
Hg 0.6488 0.3582 0.2906
Hg 0.6562 0.1562 0.5000
Hg 0.7861 0.0000 0.7861
Hg 0.9323 0.6418 0.2906

Properties
Total magnetic moment: 0.0000 μB per atom
Energy of formation from the pure elements: -0.34 eV per atom
Total energy: -22.1 eV for the cell shown

(4)
Nd5YHg3: optimized geometry, GGA-PBE.

Lattice parameters (Å, degrees): 9.3678 9.3678 7.0486 90.00 90.00 120.00
Positions (direct):
Nd 0.0000 0.3369 0.2500
Nd 0.0000 0.6631 0.7500
Nd 0.3333 0.6667 0.0000
Nd 0.3333 0.6667 0.5000
Nd 0.3369 0.0000 0.2500
Nd 0.3369 0.3369 0.7500
Nd 0.6631 0.0000 0.7500
Nd 0.6631 0.6631 0.2500
Nd 0.6667 0.3333 0.0000
Nd 0.6667 0.3333 0.5000
Y 0.0000 0.0000 0.0000
Y 0.0000 0.0000 0.5000
Hg 0.0000 0.3255 0.7500
Hg 0.0000 0.6745 0.2500
Hg 0.3255 0.0000 0.7500
Hg 0.3255 0.3255 0.2500
Hg 0.6745 0.0000 0.2500
Hg 0.6745 0.6745 0.7500

Properties
Total magnetic moment: 0.0000 μB per atom
Energy of formation from the pure elements: -0.29 eV per atom
Total energy: -67.6 eV for the cell shown

(5)
NdY5Hg4: optimized geometry, GGA-PBE.

Lattice parameters (Å, degrees): 3.7067 3.7067 20.0439 90.00 90.00 90.00
Positions (direct):
Nd 0.0000 0.0000 0.0000
Y 0.5000 0.5000 0.1259
Y 0.5000 0.5000 0.3135
Y 0.5000 0.5000 0.5000
Y 0.5000 0.5000 0.6865
Y 0.5000 0.5000 0.8741
Hg 0.0000 0.0000 0.2177
Hg 0.0000 0.0000 0.4055
Hg 0.0000 0.0000 0.5945
Hg 0.0000 0.0000 0.7823

Properties
Total magnetic moment: 0.0000 μB per atom
Energy of formation from the pure elements: -0.40 eV per atom
Total energy: -42.3 eV for the cell shown

(6)
Nd2Y2Hg: optimized geometry, GGA-PBE.

Lattice parameters (Å, degrees): 11.9356 11.9356 11.9356 162.43 162.43 24.94
Positions (direct):
Nd 0.1940 0.1940 0.0000
Nd 0.8060 0.8060 0.0000
Y 0.4163 0.4163 0.0000
Y 0.5837 0.5837 0.0000
Hg 0.0000 0.0000 0.0000

Properties
E above lowest polymorph: 0.000 eV per atom
Total magnetic moment: 0.1023 μB per atom
Energy of formation from the pure elements: -0.19 eV per atom
Total energy: -23.7 eV for the cell shown

(7)
NdYHg2: optimized geometry, GGA-PBE.

Lattice parameters (Å, degrees): 3.7499 3.7499 7.7084 90.00 90.00 90.00
Positions (direct):
Nd 0.0000 0.0000 0.0000
Y 0.0000 0.0000 0.5000
Hg 0.5000 0.5000 0.2665
Hg 0.5000 0.5000 0.7335

Properties
E above lowest polymorph: 0.000 eV per atom
Total magnetic moment: 0.1391 μB per atom
Energy of formation from the pure elements: -0.49 eV per atom
Total energy: -13.8 eV for the cell shown

(8)
NdYHg4: optimized geometry, GGA-PBE.

Lattice parameters (Å, degrees): 5.9945 5.9945 5.9945 60.00 60.00 60.00
Positions (direct):
Nd 0.0000 0.0000 0.0000
Y 0.7500 0.7500 0.7500
Hg 0.3750 0.3750 0.3750
Hg 0.3750 0.3750 0.8750
Hg 0.3750 0.8750 0.3750
Hg 0.8750 0.3750 0.3750

Properties
E above lowest polymorph: 0.110 eV per atom
Total magnetic moment: 0.0002 μB per atom
Energy of formation from the pure elements: -0.25 eV per atom
Total energy: -13.9 eV for the cell shown

(9)
Nd9Y4Hg11: optimized geometry, GGA-PBE.

Lattice parameters (Å, degrees): 14.1621 14.1621 3.5956 90.00 90.00 111.47
Positions (direct):
Nd 0.0000 0.0000 0.0000
Nd 0.1307 0.6439 0.0000
Nd 0.2934 0.4589 0.0000
Nd 0.3561 0.8693 0.0000
Nd 0.4589 0.2934 0.0000
Nd 0.5411 0.7066 0.0000
Nd 0.6439 0.1307 0.0000
Nd 0.7066 0.5411 0.0000
Nd 0.8693 0.3561 0.0000
Y 0.0578 0.2469 0.0000
Y 0.2469 0.0578 0.0000
Y 0.7531 0.9422 0.0000
Y 0.9422 0.7531 0.0000
Hg 0.0841 0.4398 0.5000
Hg 0.1364 0.8636 0.5000
Hg 0.2350 0.2350 0.5000
Hg 0.3340 0.6660 0.5000
Hg 0.4398 0.0841 0.5000
Hg 0.5000 0.5000 0.5000
Hg 0.5602 0.9159 0.5000
Hg 0.6660 0.3340 0.5000
Hg 0.7650 0.7650 0.5000
Hg 0.8636 0.1364 0.5000
Hg 0.9159 0.5602 0.5000

Properties
Total magnetic moment: 0.1527 μB per atom
Energy of formation from the pure elements: -0.39 eV per atom
Total energy: -81.4 eV for the cell shown

(10)
Nd4YHg2: optimized geometry, GGA-PBE.

Lattice parameters (Å, degrees): 9.3602 9.3602 9.3602 34.86 34.86 34.86
Positions (direct):
Nd 0.1297 0.1297 0.1297
Nd 0.2676 0.2676 0.2676
Nd 0.7324 0.7324 0.7324
Nd 0.8703 0.8703 0.8703
Y 0.5000 0.5000 0.5000
Hg 0.3866 0.3866 0.3866
Hg 0.6134 0.6134 0.6134

Properties
Total magnetic moment: 0.0000 μB per atom
Energy of formation from the pure elements: -0.02 eV per atom
Total energy: -26.3 eV for the cell shown

(11)
Nd2YHg5: optimized geometry, GGA-PBE.

Lattice parameters (Å, degrees): 8.4571 8.4571 8.4571 143.98 143.98 51.86
Positions (direct):
Nd 0.2353 0.2353 0.0000
Nd 0.7647 0.7647 0.0000
Y 0.5000 0.5000 0.0000
Hg 0.0000 0.0000 0.0000
Hg 0.1183 0.6183 0.5000
Hg 0.3817 0.8817 0.5000
Hg 0.6183 0.1183 0.5000
Hg 0.8817 0.3817 0.5000

Properties
Total magnetic moment: 0.0233 μB per atom
Energy of formation from the pure elements: -0.42 eV per atom
Total energy: -20.9 eV for the cell shown

(12)
YbNdHg2: optimized geometry, GGA-PBE.

Lattice parameters (Å, degrees): 5.3728 5.3728 5.3728 60.00 60.00 60.00
Positions (direct):
Yb 0.0000 0.0000 0.0000
Nd 0.5000 0.5000 0.5000
Hg 0.2500 0.2500 0.2500
Hg 0.7500 0.7500 0.7500

Properties
Total magnetic moment: 0.0635 μB per atom
Energy of formation from the pure elements: -0.56 eV per atom
Total energy: -9.1 eV for the cell shown